# PSe3Br | Alexandria via LeMat-Bulk | PBE | relaxed
data_PSe3Br
_symmetry_space_group_name_H-M 'P 1'
_symmetry_Int_Tables_number 1
_cell_length_a 4.595
_cell_length_b 9.135
_cell_length_c 8.479
_cell_angle_alpha 113.90
_cell_angle_beta 73.49
_cell_angle_gamma 97.16
loop_
_symmetry_equiv_pos_as_xyz
'x,y,z'
loop_
_atom_site_label
_atom_site_fract_x
_atom_site_fract_y
_atom_site_fract_z
_atom_site_occupancy
P1 0.238 0.450 0.905 1
P2 0.762 0.550 0.095 1
Se1 0.147 0.302 0.653 1
Se2 0.419 0.327 0.048 1
Se3 0.000 0.941 0.104 1
Se4 0.853 0.698 0.347 1
Se5 0.000 0.059 0.896 1
Se6 0.581 0.673 0.952 1
Br1 0.361 0.871 0.640 1
Br2 0.639 0.129 0.360 1
# DFT total energy: -0.257 Ry per atom
# SG: P-1, No. 2
# magnetic moment: 0.0 μB per formula unit
# energy relative to the elements, uncorrected: 0.017 eV/atom
# relative energy among the computed polymorphs: 106 meV/atom



# PSe3Br | Alexandria via LeMat-Bulk | PBE | relaxed
data_PSe3Br
_symmetry_space_group_name_H-M 'P 1'
_symmetry_Int_Tables_number 1
_cell_length_a 4.893
_cell_length_b 4.893
_cell_length_c 4.893
_cell_angle_alpha 90.00
_cell_angle_beta 90.00
_cell_angle_gamma 90.00
loop_
_symmetry_equiv_pos_as_xyz
'x,y,z'
loop_
_atom_site_label
_atom_site_fract_x
_atom_site_fract_y
_atom_site_fract_z
_atom_site_occupancy
P1 0.000 0.000 0.000 1
Se1 0.000 0.500 0.000 1
Se2 0.000 0.000 0.500 1
Se3 0.500 0.000 0.000 1
Br1 0.500 0.500 0.500 1
# DFT total energy: -0.217 Ry per atom
# SG: Pm-3m, No. 221
# Fermi-level density of states: 4.6 states/eV/cell
# magnetic moment: 0.0 μB per formula unit
# energy relative to the elements, uncorrected: 0.559 eV/atom
# relative energy among the computed polymorphs: 648 meV/atom



# PSe4Br | Alexandria via LeMat-Bulk | PBE | relaxed
data_PSe4Br
_symmetry_space_group_name_H-M 'P 1'
_symmetry_Int_Tables_number 1
_cell_length_a 5.712
_cell_length_b 5.712
_cell_length_c 5.712
_cell_angle_alpha 60.00
_cell_angle_beta 60.00
_cell_angle_gamma 60.00
loop_
_symmetry_equiv_pos_as_xyz
'x,y,z'
loop_
_atom_site_label
_atom_site_fract_x
_atom_site_fract_y
_atom_site_fract_z
_atom_site_occupancy
P1 0.000 0.000 0.000 1
Se1 0.897 0.368 0.368 1
Se2 0.368 0.368 0.897 1
Se3 0.368 0.897 0.368 1
Se4 0.368 0.368 0.368 1
Br1 0.750 0.750 0.750 1
# DFT total energy: -0.196 Ry per atom
# SG: F-43m, No. 216
# Fermi-level density of states: 4.6 states/eV/cell
# magnetic moment: 0.5 μB per formula unit
# energy relative to the elements, uncorrected: 0.843 eV/atom



# SiPSeBr2 | Alexandria via LeMat-Bulk | PBE | relaxed
data_SiPSeBr2
_symmetry_space_group_name_H-M 'P 1'
_symmetry_Int_Tables_number 1
_cell_length_a 4.956
_cell_length_b 4.956
_cell_length_c 5.115
_cell_angle_alpha 90.00
_cell_angle_beta 90.00
_cell_angle_gamma 90.00
loop_
_symmetry_equiv_pos_as_xyz
'x,y,z'
loop_
_atom_site_label
_atom_site_fract_x
_atom_site_fract_y
_atom_site_fract_z
_atom_site_occupancy
P1 0.000 0.000 0.000 1
Si1 0.500 0.500 0.500 1
Se1 0.000 0.000 0.500 1
Br1 0.000 0.500 0.000 1
Br2 0.500 0.000 0.000 1
# DFT total energy: -0.219 Ry per atom
# SG: P4/mmm, No. 123
# Fermi-level density of states: 2.4 states/eV/cell
# magnetic moment: 0.2 μB per formula unit
# energy relative to the elements, uncorrected: 0.551 eV/atom
# relative energy among the computed polymorphs: 0 meV/atom



# Sm8P3Se4Br | Alexandria via LeMat-Bulk | PBE | relaxed
data_Sm8P3Se4Br
_symmetry_space_group_name_H-M 'P 1'
_symmetry_Int_Tables_number 1
_cell_length_a 8.312
_cell_length_b 8.329
_cell_length_c 8.312
_cell_angle_alpha 119.93
_cell_angle_beta 120.00
_cell_angle_gamma 90.00
loop_
_symmetry_equiv_pos_as_xyz
'x,y,z'
loop_
_atom_site_label
_atom_site_fract_x
_atom_site_fract_y
_atom_site_fract_z
_atom_site_occupancy
Sm1 0.257 0.739 0.981 1
Sm2 0.257 0.739 0.515 1
Sm3 0.257 0.271 0.514 1
Sm4 0.724 0.739 0.981 1
Sm5 0.276 0.261 0.019 1
Sm6 0.743 0.729 0.486 1
Sm7 0.743 0.261 0.485 1
Sm8 0.743 0.261 0.019 1
P1 0.500 0.500 0.000 1
P2 0.500 0.500 0.500 1
P3 0.000 0.500 0.500 1
Se1 0.500 0.000 0.000 1
Se2 0.500 0.000 0.500 1
Se3 0.000 0.000 0.000 1
Se4 0.000 0.000 0.500 1
Br1 0.000 0.500 0.000 1
# DFT total energy: -0.445 Ry per atom
# SG: R-3m, No. 166
# Fermi-level density of states: 6.3 states/eV/cell
# magnetic moment: 0.0 μB per formula unit
# energy relative to the elements, uncorrected: -1.708 eV/atom



# Sm4PSe2Br | Alexandria via LeMat-Bulk | PBE | relaxed
data_Sm4PSe2Br
_symmetry_space_group_name_H-M 'P 1'
_symmetry_Int_Tables_number 1
_cell_length_a 4.155
_cell_length_b 7.179
_cell_length_c 7.341
_cell_angle_alpha 70.94
_cell_angle_beta 90.00
_cell_angle_gamma 90.00
loop_
_symmetry_equiv_pos_as_xyz
'x,y,z'
loop_
_atom_site_label
_atom_site_fract_x
_atom_site_fract_y
_atom_site_fract_z
_atom_site_occupancy
Sm1 0.000 0.758 0.717 1
Sm2 0.000 0.242 0.283 1
Sm3 0.500 0.739 0.279 1
Sm4 0.500 0.261 0.721 1
P1 0.000 0.500 0.500 1
Se1 0.000 0.000 0.000 1
Se2 0.500 0.000 0.500 1
Br1 0.500 0.500 0.000 1
# DFT total energy: -0.421 Ry per atom
# SG: P2/m, No. 10
# Fermi-level density of states: 3.6 states/eV/cell
# magnetic moment: 0.0 μB per formula unit
# energy relative to the elements, uncorrected: -1.616 eV/atom